(1)
VASP calculation (PBEsol) on a relaxed IrSe2I crystal.

The structure belongs to space group R-3m (No. 166, hexagonal axes); the cell edges are 2.9618, 2.9618 and 35.9444 Å and the angles 90.00°, 90.00° and 120.00°. The distinct sites, in fractional coordinates, are Ir at (0.0000, 0.0000, 0.0000), Se at (0.0000, 0.0000, 0.0659) and I at (0.0000, 0.0000, 0.5000).

Its uncorrected formation energy is 1.44 eV/f.u. For the energy, the calculation gives -53.6 eV for the cell shown. For the relative energy among the computed polymorphs, the calculation gives 51.41 kJ/mol of atoms. The density of states at the Fermi level is 3.00 states/eV/f.u.

=====

(2)
VASP calculation (PBEsol) on a relaxed TlTcW2 crystal.

The structure belongs to space group Immm (No. 71); the cell edges are 3.211, 4.428 and 9.224 Å and the angles 90.00°, 90.00° and 90.00°. The distinct sites, in fractional coordinates, are Tl at (0.000, 0.000, 0.000), Tc at (0.000, 0.000, 0.500) and W at (0.000, 0.500, 0.238).

For the energy, the calculation gives -78.2 eV for the cell shown. For the relative energy among the computed polymorphs, the calculation gives 0.00 kJ/mol of atoms. The density of states at the Fermi level is 3.26 states/eV/f.u. The calculation puts the formation energy at 230 kJ/mol of formula units.

=====

(3)
VASP calculation (PBEsol) on a relaxed LiIrRu crystal.

The structure belongs to space group F-43m (No. 216); the cell edges are 5.667, 5.667 and 5.667 Å and the angles 90.00°, 90.00° and 90.00°. The distinct sites, in fractional coordinates, are Li at (0.000, 0.000, 0.000), Ir at (0.250, 0.250, 0.250) and Ru at (0.000, 0.000, 0.500).

For the energy, the calculation gives -82.7 eV for the cell shown. The density of states at the Fermi level is 2.03 states/eV/f.u. The calculation puts the formation energy at 125 kJ/mol of formula units.

=====

(4)
VASP calculation (PBEsol) on a relaxed Na2PdO2 crystal.

The structure belongs to space group P4/mbm (No. 127); the cell edges are 5.712, 5.712 and 3.525 Å and the angles 90.00°, 90.00° and 90.00°. The distinct sites, in fractional coordinates, are Na at (0.142, 0.358, 0.000), Pd at (0.000, 0.000, 0.500) and O at (0.176, 0.676, 0.500).

Its uncorrected formation energy is -4.35 eV/f.u. For the energy, the calculation gives -47.2 eV for the cell shown. The density of states at the Fermi level is 0.90 states/eV/f.u.

=====

(5)
VASP calculation (PBEsol) on a relaxed BaTlCu2 crystal.

The structure belongs to space group F-43m (No. 216); the cell edges are 7.221, 7.221 and 7.221 Å and the angles 90.00°, 90.00° and 90.00°. The distinct sites, in fractional coordinates, are Ba at (0.000, 0.000, 0.000), Tl at (0.250, 0.250, 0.250), Cu at (0.000, 0.000, 0.500) and Cu at (0.250, 0.250, 0.750).

For the energy, the calculation gives -48.3 eV for the cell shown. The density of states at the Fermi level is 4.06 states/eV/f.u. The calculation puts the formation energy at 133 kJ/mol of formula units.

=====

(6)
VASP calculation (PBEsol) on a relaxed Sn2Te2C crystal.

The structure belongs to space group I4/mmm (No. 139); the cell edges are 4.047, 4.047 and 15.964 Å and the angles 90.00°, 90.00° and 90.00°. The distinct sites, in fractional coordinates, are Sn at (0.000, 0.500, 0.250), Te at (0.000, 0.000, 0.088) and C at (0.000, 0.000, 0.500).

Its uncorrected formation energy is 6.94 eV/f.u. For the energy, the calculation gives -36.6 eV for the cell shown. The density of states at the Fermi level is 2.74 states/eV/f.u.

=====

(7)
VASP calculation (PBEsol) on a relaxed Zr2MnFe crystal.

The structure belongs to space group P4/mmm (No. 123); the cell edges are 3.128, 3.128 and 6.265 Å and the angles 90.00°, 90.00° and 90.00°. The distinct sites, in fractional coordinates, are Zr at (0.000, 0.000, 0.250), Mn at (0.500, 0.500, 0.000) and Fe at (0.500, 0.500, 0.500).

For the energy, the calculation gives -37.4 eV for the cell shown. For the relative energy among the computed polymorphs, the calculation gives 0.00 kJ/mol of atoms. The density of states at the Fermi level is 3.12 states/eV/f.u. The calculation puts the formation energy at -47 kJ/mol of formula units.

=====

(8)
VASP calculation (PBEsol) on a relaxed Te2PdRuI crystal.

The structure belongs to space group P4/mmm (No. 123); the cell edges are 4.974, 4.974 and 5.536 Å and the angles 90.00°, 90.00° and 90.00°. The distinct sites, in fractional coordinates, are Te at (0.000, 0.500, 0.000), Pd at (0.000, 0.000, 0.500), Ru at (0.500, 0.500, 0.000) and I at (0.500, 0.500, 0.500).

Its uncorrected formation energy is 3.84 eV/f.u. For the energy, the calculation gives -21.1 eV for the cell shown. The density of states at the Fermi level is 5.74 states/eV/f.u.

=====

(9)
VASP calculation (PBEsol) on a relaxed La2MoO6 crystal.

The structure belongs to space group P2_1/c (No. 14); the cell edges are 5.517, 6.220 and 9.030 Å and the angles 90.00°, 121.91° and 90.00°. The distinct sites, in fractional coordinates, are La at (0.213, 0.087, 0.249), Mo at (0.500, 0.000, 0.000), O at (0.161, 0.150, 0.952), O at (0.288, 0.736, 0.923) and O at (0.408, 0.061, 0.770).

Its uncorrected formation energy is -26.07 eV/f.u. For the energy, the calculation gives -160.1 eV for the cell shown. The density of states at the Fermi level is 0.00 states/eV/f.u.

=====

(10)
VASP calculation (PBEsol) on a relaxed BaSr3Ag crystal.

The structure belongs to space group Pm-3m (No. 221); the cell edges are 6.212, 6.212 and 6.212 Å and the angles 90.00°, 90.00° and 90.00°. The distinct sites, in fractional coordinates, are Ba at (0.000, 0.000, 0.000), Sr at (0.000, 0.500, 0.500) and Ag at (0.500, 0.500, 0.500).

For the energy, the calculation gives -11.3 eV for the cell shown. The density of states at the Fermi level is 4.04 states/eV/f.u. The calculation puts the formation energy at -35 kJ/mol of formula units.

=====

(11)
VASP calculation (PBEsol) on a relaxed YSn3Bi crystal.

The structure belongs to space group Pm-3m (No. 221); the cell edges are 5.648, 5.648 and 5.648 Å and the angles 90.00°, 90.00° and 90.00°. The distinct sites, in fractional coordinates, are Y at (0.000, 0.000, 0.000), Sn at (0.000, 0.000, 0.500) and Bi at (0.500, 0.500, 0.500).

For the energy, the calculation gives -21.1 eV for the cell shown. The density of states at the Fermi level is 4.47 states/eV/f.u. The calculation puts the formation energy at 271 kJ/mol of formula units.

=====

(12)
VASP calculation (PBEsol) on a relaxed ZrTlNi2 crystal.

The structure belongs to space group F-43m (No. 216); the cell edges are 6.334, 6.334 and 6.334 Å and the angles 90.00°, 90.00° and 90.00°. The distinct sites, in fractional coordinates, are Zr at (0.000, 0.000, 0.000), Tl at (0.250, 0.250, 0.250), Ni at (0.000, 0.000, 0.500) and Ni at (0.250, 0.250, 0.750).

For the energy, the calculation gives -95.5 eV for the cell shown. The density of states at the Fermi level is 3.26 states/eV/f.u. The calculation puts the formation energy at 15 kJ/mol of formula units.

=====

(13)
VASP calculation (PBEsol) on a relaxed Tl2HgMo crystal.

The structure belongs to space group P2/m (No. 10); the cell edges are 2.956, 5.231 and 5.445 Å and the angles 90.00°, 90.33° and 90.00°. The distinct sites, in fractional coordinates, are Tl at (0.245, 0.000, 0.244), Hg at (0.000, 0.500, 0.500) and Mo at (0.500, 0.500, 0.000).

For the energy, the calculation gives -15.0 eV for the cell shown. For the relative energy among the computed polymorphs, the calculation gives 13.42 kJ/mol of atoms. The density of states at the Fermi level is 2.51 states/eV/f.u. The calculation puts the formation energy at 254 kJ/mol of formula units.